VASP calculation (PBE) on a geometry-optimized LaZr2S2 structure.

Total magnetization ... 0.0 Bohr magnetons per cell
Polymorph energy (0 for the lowest one) ... 0.953 eV per formula unit

Geometry as CIF:
```
data_LaZr2S2
_cell_length_a 7.669
_cell_length_b 7.669
_cell_length_c 3.382
_cell_angle_alpha 90.00
_cell_angle_beta 90.00
_cell_angle_gamma 90.00
_symmetry_space_group_name_H-M 'P 4/m b m'
_symmetry_Int_Tables_number 127
_symmetry_space_group_name_Hall '-P 4 2ab'
loop_
_atom_site_label
_atom_site_type_symbol
_atom_site_fract_x
_atom_site_fract_y
_atom_site_fract_z
La1 La 0.000 0.000 0.000
Zr1 Zr 0.153 0.347 0.500
S1 S 0.142 0.642 0.000
```


VASP calculation (PBE) on a geometry-optimized CaSb2Au structure.

DFT total energy ... -30.162 eV/cell
Total magnetization ... 0.0 Bohr magnetons per cell

Geometry as CIF:
```
data_CaSb2Au
_cell_length_a 4.443
_cell_length_b 4.443
_cell_length_c 10.392
_cell_angle_alpha 90.00
_cell_angle_beta 90.00
_cell_angle_gamma 90.00
_symmetry_space_group_name_H-M 'I 4/m m m'
_symmetry_Int_Tables_number 139
_symmetry_space_group_name_Hall '-I 4 2'
loop_
_atom_site_label
_atom_site_type_symbol
_atom_site_fract_x
_atom_site_fract_y
_atom_site_fract_z
Ca1 Ca 0.000 0.000 0.000
Sb1 Sb 0.000 0.500 0.250
Au1 Au 0.000 0.000 0.500
```